(1)
Material: V4Re3Tc
Method: DFT, PBE
State: optimized geometry Values from VASP.

Structure (Quantum ESPRESSO input):
```
&SYSTEM
  ibrav = 0, nat = 8, ntyp = 3
/
ATOMIC_SPECIES
V 50.94 V.upf
Re 186.21 Re.upf
Tc 98.00 Tc.upf
CELL_PARAMETERS angstrom
3.037 0.000 0.000
0.000 3.037 0.000
0.000 0.000 12.150
ATOMIC_POSITIONS crystal
V 0.000 0.000 0.124
V 0.000 0.000 0.375
V 0.000 0.000 0.625
V 0.000 0.000 0.876
Re 0.500 0.500 0.249
Re 0.500 0.500 0.500
Re 0.500 0.500 0.751
Tc 0.500 0.500 0.000
```

Results
The total energy is -10.879 eV/atom. The space group is P4/mmm, No. 123. The formation energy comes out at -355.9 meV per atom.

(2)
Material: SmMgCu4
Method: DFT, PBE
State: optimized geometry Values from VASP.

Structure (Quantum ESPRESSO input):
```
&SYSTEM
  ibrav = 0, nat = 6, ntyp = 3
/
ATOMIC_SPECIES
Sm 150.36 Sm.upf
Mg 24.30 Mg.upf
Cu 63.55 Cu.upf
CELL_PARAMETERS angstrom
4.425 -2.585 0.000
4.425 2.585 0.000
-2.948 0.000 4.237
ATOMIC_POSITIONS crystal
Sm 0.000 0.000 0.000
Mg 0.250 0.250 0.748
Cu 0.129 0.624 0.377
Cu 0.622 0.622 0.376
Cu 0.622 0.622 0.869
Cu 0.624 0.129 0.377
```

Results
The total energy is -3.997 eV/atom. The space group is Cm, No. 8. The formation energy comes out at -213.5 meV per atom.

(3)
Material: TaTlV2Cd
Method: DFT, PBE
State: optimized geometry Values from VASP.

Structure (Quantum ESPRESSO input):
```
&SYSTEM
  ibrav = 0, nat = 5, ntyp = 4
/
ATOMIC_SPECIES
Ta 180.95 Ta.upf
Tl 204.38 Tl.upf
V 50.94 V.upf
Cd 112.41 Cd.upf
CELL_PARAMETERS angstrom
4.724 0.000 0.000
0.000 4.724 0.000
0.000 0.000 5.456
ATOMIC_POSITIONS crystal
Ta 0.000 0.000 0.000
Tl 0.500 0.500 0.500
V 0.000 0.500 0.000
V 0.500 0.000 0.000
Cd 0.000 0.000 0.500
```

Results
The total energy is -5.378 eV/atom. The space group is P4/mmm, No. 123. The formation energy comes out at 1295.8 meV per atom.

(4)
Material: TlCrTe2
Method: DFT, PBE
State: optimized geometry Values from VASP.

Structure (Quantum ESPRESSO input):
```
&SYSTEM
  ibrav = 0, nat = 4, ntyp = 3
/
ATOMIC_SPECIES
Tl 204.38 Tl.upf
Cr 52.00 Cr.upf
Te 127.60 Te.upf
CELL_PARAMETERS angstrom
2.106 1.216 7.591
-2.106 1.216 7.591
0.000 -2.432 7.591
ATOMIC_POSITIONS crystal
Tl 0.000 0.000 0.000
Cr 0.746 0.746 0.746
Te 0.259 0.259 0.259
Te 0.466 0.466 0.466
```

Results
The total energy is -4.438 eV/atom. The space group is R3m, No. 160. For the formation energy from raw total energies, the calculation gives 131 meV per atom.

(5)
Material: K3Ce3InSe8
Method: DFT, PBE
State: optimized geometry Values from VASP.

Structure (Quantum ESPRESSO input):
```
&SYSTEM
  ibrav = 0, nat = 15, ntyp = 4
/
ATOMIC_SPECIES
K 39.10 K.upf
Ce 140.12 Ce.upf
In 114.82 In.upf
Se 78.96 Se.upf
CELL_PARAMETERS angstrom
4.265 2.462 7.788
-4.265 2.462 7.788
0.000 -4.924 7.788
ATOMIC_POSITIONS crystal
K 0.000 0.500 0.500
K 0.500 0.000 0.500
K 0.500 0.500 0.000
Ce 0.000 0.000 0.500
Ce 0.000 0.500 0.000
Ce 0.500 0.000 0.000
In 0.500 0.500 0.500
Se 0.236 0.236 0.236
Se 0.241 0.730 0.730
Se 0.270 0.270 0.759
Se 0.270 0.759 0.270
Se 0.730 0.241 0.730
Se 0.730 0.730 0.241
Se 0.759 0.270 0.270
Se 0.764 0.764 0.764
```

Results
The total energy is -4.904 eV/atom. The space group is R-3m, No. 166. For the formation energy from raw total energies, the calculation gives -1457 meV per atom.

(6)
Material: PmPr6Sm2Ho
Method: DFT, PBE
State: optimized geometry Values from VASP.

Structure (Quantum ESPRESSO input):
```
&SYSTEM
  ibrav = 0, nat = 20, ntyp = 4
/
ATOMIC_SPECIES
Pm 145.00 Pm.upf
Pr 140.91 Pr.upf
Sm 150.36 Sm.upf
Ho 164.93 Ho.upf
CELL_PARAMETERS angstrom
4.668 -7.739 0.000
4.668 7.739 0.000
-1.409 0.000 9.776
ATOMIC_POSITIONS crystal
Pm 0.022 0.978 0.750
Pm 0.978 0.022 0.250
Pr 0.011 0.568 0.689
Pr 0.117 0.754 0.054
Pr 0.246 0.883 0.446
Pr 0.295 0.506 0.881
Pr 0.432 0.989 0.811
Pr 0.494 0.705 0.619
Pr 0.506 0.295 0.381
Pr 0.568 0.011 0.189
Pr 0.705 0.494 0.119
Pr 0.754 0.117 0.554
Pr 0.883 0.246 0.946
Pr 0.989 0.432 0.311
Sm 0.198 0.296 0.544
Sm 0.296 0.198 0.044
Sm 0.704 0.802 0.956
Sm 0.802 0.704 0.456
Ho 0.410 0.590 0.250
Ho 0.590 0.410 0.750
```

Results
The total energy is -4.633 eV/atom. The space group is C2/c, No. 15. The formation energy comes out at 111.6 meV per atom.

(7)
Material: NdEr2Ni9
Method: DFT, PBE
State: optimized geometry Values from VASP.

Structure (Quantum ESPRESSO input):
```
&SYSTEM
  ibrav = 0, nat = 12, ntyp = 3
/
ATOMIC_SPECIES
Nd 144.24 Nd.upf
Er 167.26 Er.upf
Ni 58.69 Ni.upf
CELL_PARAMETERS angstrom
2.494 1.440 8.082
-2.494 1.440 8.082
0.000 -2.880 8.082
ATOMIC_POSITIONS crystal
Nd 0.000 0.000 0.000
Er 0.140 0.140 0.140
Er 0.860 0.860 0.860
Ni 0.082 0.584 0.584
Ni 0.333 0.333 0.333
Ni 0.416 0.416 0.918
Ni 0.416 0.918 0.416
Ni 0.500 0.500 0.500
Ni 0.584 0.082 0.584
Ni 0.584 0.584 0.082
Ni 0.667 0.667 0.667
Ni 0.918 0.416 0.416
```

Results
The total energy is -5.898 eV/atom. The space group is R-3m, No. 166. The formation energy comes out at -404.2 meV per atom.

(8)
Material: Tb4NdSm3
Method: DFT, PBE
State: optimized geometry Values from VASP.

Structure (Quantum ESPRESSO input):
```
&SYSTEM
  ibrav = 0, nat = 8, ntyp = 3
/
ATOMIC_SPECIES
Tb 158.93 Tb.upf
Nd 144.24 Nd.upf
Sm 150.36 Sm.upf
CELL_PARAMETERS angstrom
-1.734 5.854 6.556
1.734 -5.854 6.556
1.734 5.854 -6.556
ATOMIC_POSITIONS crystal
Tb 0.115 0.865 0.249
Tb 0.384 0.135 0.249
Tb 0.616 0.865 0.751
Tb 0.885 0.135 0.751
Nd 0.000 0.000 0.000
Sm 0.241 0.741 0.500
Sm 0.500 0.500 0.000
Sm 0.759 0.259 0.500
```

Results
The total energy is -4.552 eV/atom. The space group is Immm, No. 71. The formation energy comes out at 129.0 meV per atom.

Copy entry 2 word for word.
Material: SmMgCu4
Method: DFT, PBE
State: optimized geometry Values from VASP.

Structure (Quantum ESPRESSO input):
```
&SYSTEM
  ibrav = 0, nat = 6, ntyp = 3
/
ATOMIC_SPECIES
Sm 150.36 Sm.upf
Mg 24.30 Mg.upf
Cu 63.55 Cu.upf
CELL_PARAMETERS angstrom
4.425 -2.585 0.000
4.425 2.585 0.000
-2.948 0.000 4.237
ATOMIC_POSITIONS crystal
Sm 0.000 0.000 0.000
Mg 0.250 0.250 0.748
Cu 0.129 0.624 0.377
Cu 0.622 0.622 0.376
Cu 0.622 0.622 0.869
Cu 0.624 0.129 0.377
```

Results
The total energy is -3.997 eV/atom. The space group is Cm, No. 8. The formation energy comes out at -213.5 meV per atom.